This record from the Alexandria database describes a relaxed CaTcPH crystal. The functional is PBE.

Lattice parameters (Å, degrees): 3.951 3.951 7.958 90.00 90.00 90.00
Fractional positions:
Ca (0.500, 0.000, 0.646)
Ca (0.000, 0.500, 0.354)
Tc (0.500, 0.500, 0.000)
Tc (0.000, 0.000, 0.000)
P (0.000, 0.500, 0.831)
P (0.500, 0.000, 0.169)
H (0.000, 0.000, 0.500)
H (0.500, 0.500, 0.500)

Output
VASP energy, eV/cell: -47.91
Symmetry: No. 129